Material: ZrTa2V9
Method: DFT, PBE
State: relaxed

## Properties
As for the density of states at the Fermi level: 1.47 states/eV/atom. The calculation puts the energy relative to the elements at 0.05 eV per atom. The calculation puts the raw total energy at -9.477 eV/atom. The symmetry is No. 166. The total moment comes out at 0.00 μB/f.u.

abc: 8.4229 8.4229 8.4229
angles: 36.06 36.06 36.06
With the nearest neighbours (Å) after each atom.
Positions (direct):
Zr 0.0000 0.0000 0.0000  18 V 3.01-3.27
Ta 0.1457 0.1457 0.1457  12 V 2.87-3.05, 3 Ta 3.17
Ta 0.8543 0.8543 0.8543  12 V 2.87-3.05, 3 Ta 3.17
V 0.0799 0.5854 0.5854  7 V 2.46-2.64
V 0.3330 0.3330 0.3330  6 V 2.46-2.50
V 0.4146 0.4146 0.9201  7 V 2.46-2.64
V 0.4146 0.9201 0.4146  7 V 2.46-2.64
V 0.5000 0.5000 0.5000  6 V 2.48
V 0.5854 0.0799 0.5854  7 V 2.46-2.64
V 0.5854 0.5854 0.0799  7 V 2.46-2.64
V 0.6670 0.6670 0.6670  6 V 2.46-2.50
V 0.9201 0.4146 0.4146  7 V 2.46-2.64



Material: ZrTaV2
Method: DFT, PBE
State: relaxed

## Properties
As for the density of states at the Fermi level: 1.67 states/eV/atom. The calculation puts the energy relative to the elements at 0.15 eV per atom. The calculation puts the raw total energy at -9.512 eV/atom. The symmetry is No. 225. The energy relative to the lowest polymorph listed for this composition comes out at 0.15 eV/f.u. The total moment comes out at 2.46 μB/f.u.

abc: 4.5870 4.5870 4.5870
angles: 60.00 60.00 60.00
With the nearest neighbours (Å) after each atom.
Positions (direct):
Zr 0.0000 0.0000 0.0000  8 V 2.81
Ta 0.5000 0.5000 0.5000  8 V 2.81
V 0.2500 0.2500 0.2500  4 Zr 2.81, 4 Ta 2.81
V 0.7500 0.7500 0.7500  4 Zr 2.81, 4 Ta 2.81



Material: TaW5
Method: DFT, PBE
State: relaxed

## Properties
As for the density of states at the Fermi level: 1.39 states/eV/atom. The calculation puts the energy relative to the elements at 0.27 eV per atom. The calculation puts the raw total energy at -12.496 eV/atom. The symmetry is No. 216. The energy relative to the lowest polymorph listed for this composition comes out at 2.13 eV/f.u. The total moment comes out at 0.00 μB/f.u.

abc: 5.2634 5.2634 5.2634
angles: 60.00 60.00 60.00
With the nearest neighbours (Å) after each atom.
Positions (direct):
Ta 0.0000 0.0000 0.0000  16 W 3.09-3.22
W 0.3750 0.3750 0.3750  6 W 2.63
W 0.3750 0.3750 0.8751  6 W 2.63
W 0.3750 0.8751 0.3750  6 W 2.63
W 0.7500 0.7500 0.7500  12 W 3.09, 4 Ta 3.22
W 0.8751 0.3750 0.3750  6 W 2.63



Material: Ta5W3
Method: DFT, PBE
State: relaxed

## Properties
As for the density of states at the Fermi level: 0.86 states/eV/atom. The calculation puts the energy relative to the elements at -0.06 eV per atom. The calculation puts the raw total energy at -12.327 eV/atom. The symmetry is No. 38. The energy relative to the lowest polymorph listed for this composition comes out at 0.22 eV/f.u. The total moment comes out at 0.00 μB/f.u.

abc: 6.5145 6.5182 6.5182
angles: 90.04 90.00 90.00
With the nearest neighbours (Å) after each atom.
Positions (direct):
Ta 0.0000 0.0000 0.0000  2 W 2.80, 6 Ta 2.84-2.87
Ta 0.0000 0.0007 0.5083  2 W 2.81, 6 Ta 2.83-2.86
Ta 0.0000 0.5083 0.0007  2 W 2.81, 6 Ta 2.83-2.86
Ta 0.2536 0.2548 0.2548  4 W 2.83-2.86, 4 Ta 2.84-2.87
Ta 0.2538 0.2548 0.7549  4 W 2.81-2.84, 4 Ta 2.81-2.84
Ta 0.2538 0.7549 0.2548  4 W 2.81-2.84, 4 Ta 2.81-2.84
Ta 0.5000 0.5093 0.5093  2 W 2.78, 6 Ta 2.81-2.84
Ta 0.7464 0.2548 0.2548  4 W 2.83-2.86, 4 Ta 2.84-2.87
Ta 0.7462 0.2548 0.7549  4 W 2.81-2.84, 4 Ta 2.81-2.84
Ta 0.7462 0.7549 0.2548  4 W 2.81-2.84, 4 Ta 2.81-2.84
W 0.0000 0.5077 0.5077  2 W 2.81, 6 Ta 2.84-2.86
W 0.2532 0.7549 0.7549  4 Ta 2.78-2.81, 4 W 2.79-2.81
W 0.5000 0.0021 0.0021  2 W 2.79, 6 Ta 2.81-2.83
W 0.5000 0.0021 0.5082  2 W 2.79, 6 Ta 2.81-2.83
W 0.5000 0.5082 0.0021  2 W 2.79, 6 Ta 2.81-2.83
W 0.7468 0.7549 0.7549  4 Ta 2.78-2.81, 4 W 2.79-2.81



Material: Ta4W
Method: DFT, PBE
State: relaxed

## Properties
As for the density of states at the Fermi level: 1.18 states/eV/atom. The calculation puts the energy relative to the elements at 0.98 eV per atom. The calculation puts the raw total energy at -11.097 eV/atom. The symmetry is No. 139. The energy relative to the lowest polymorph listed for this composition comes out at 5.14 eV/f.u. The total moment comes out at 0.00 μB/f.u.

abc: 7.8773 7.8773 7.8773
angles: 153.40 153.40 37.98
With the nearest neighbours (Å) after each atom.
Positions (direct):
Ta 0.0917 0.0917 0.0000  5 Ta 2.73-2.97, 4 W 2.90
Ta 0.2500 0.7500 0.5000  4 Ta 2.56
Ta 0.7500 0.2500 0.5000  4 Ta 2.56
Ta 0.9083 0.9083 0.0000  5 Ta 2.73-2.97, 4 W 2.90
W 0.5000 0.5000 0.0000  8 Ta 2.90



Material: TaW2
Method: DFT, PBE
State: relaxed

## Properties
As for the density of states at the Fermi level: 0.74 states/eV/atom. The calculation puts the energy relative to the elements at 0.32 eV per atom. The calculation puts the raw total energy at -12.266 eV/atom. The symmetry is No. 164. The total moment comes out at 0.00 μB/f.u.

abc: 3.0290 3.0290 6.5183
angles: 90.00 90.00 120.00
With the nearest neighbours (Å) after each atom.
Positions (direct):
Ta 0.0000 0.0000 0.0000  6 W 2.83, 6 Ta 3.03
W 0.3333 0.6667 0.6586  9 W 2.71-3.03, 3 Ta 2.83
W 0.6667 0.3333 0.3414  9 W 2.71-3.03, 3 Ta 2.83



| no. | volume (Å³ per atom) |
| --- | --- |
| 1 | 15.43 |
| 2 | 17.06 |
| 3 | 17.18 |
| 4 | 17.30 |
| 5 | 19.57 |
| 6 | 17.26 |